[1]
Density functional theory data (PBE) for a relaxed ScOsRu2 crystal.

Geometry as POSCAR:
```
ScOsRu2
1.0
-3.580 -0.617 3.714
-3.123 -4.127 -0.452
4.900 1.652 0.504
Os Ru Sc
1 2 1
Cartesian
-0.788 -2.424 0.841
-0.013 -0.009 0.006
-3.339 -2.363 1.625
-1.016 -0.669 2.924
```

Results
Polymorph energy (0 for the lowest one) in eV per atom: 0.115
Formation enthalpy at 0 K in eV/atom: 0.048
Crystal system: orthorhombic

---

[2]
Density functional theory data (PBE) for a relaxed CaPd3Pt2 crystal.

Geometry as POSCAR:
```
CaPd3Pt2
1.0
-1.670 -2.894 2.907
0.508 -3.937 -3.627
4.036 1.073 3.386
Ca Pd Pt
1 3 2
Cartesian
0.001 -0.005 -0.005
1.184 -0.915 3.142
1.438 -2.884 1.329
-0.580 -3.420 -0.364
2.860 -0.602 1.044
1.685 -2.272 -1.293
```

Results
Formation enthalpy at 0 K in eV/atom: -0.401
Crystal system: hexagonal

---

[3]
Density functional theory data (PBE) for a relaxed MnTcNi6 crystal.

Geometry as POSCAR:
```
MnTcNi6
1.0
-3.234 -1.566 -0.161
1.247 -2.324 -2.446
1.920 -4.507 5.261
Mn Tc Ni
1 1 6
Cartesian
0.000 0.000 0.000
0.960 -2.254 2.631
-0.994 -1.945 -1.303
-0.034 -4.198 1.327
-1.133 -1.918 1.245
-0.181 -4.154 3.855
1.107 -2.297 0.103
2.060 -4.533 2.713
```

Results
Polymorph energy (0 for the lowest one) in eV per atom: 0.000
Formation enthalpy at 0 K in eV/atom: -0.019
Crystal system: tetragonal

---

[4]
Density functional theory data (PBE) for a relaxed PdAu2F2 crystal.

Geometry as POSCAR:
```
PdAu2F2
1.0
-0.041 3.358 6.409
-7.220 -0.427 0.177
0.179 -2.486 1.304
Au Pd F
4 2 4
Cartesian
-4.805 -0.939 1.906
-5.881 0.678 5.136
-2.277 1.383 5.984
-1.201 -0.234 2.754
0.000 0.000 0.000
-3.631 1.465 3.293
-6.348 0.891 2.572
-4.535 2.679 5.731
-0.914 2.040 4.015
-2.727 0.252 0.855
```

Results
Polymorph energy (0 for the lowest one) in eV per atom: 0.000
E_form (uncorrected) in eV/atom: -0.147
Crystal system: tetragonal

---

The uncorrected energy results, record by record, are as follows: -8.98 -5.34 -6.80 -3.24 eV/atom.
The N(E_F) results, record by record, are as follows: 4.96 4.85 7.51 6.60 states/eV per cell.